No. 1
! Y2TiPd9 | Alexandria via LeMat-Bulk | GGA-PBE | optimized geometry; values from VASP
! Final energy in eV per atom: -6.41
! SG: P4/mmm (123)
&SYSTEM
  ibrav = 0, nat = 12, ntyp = 3
/
ATOMIC_SPECIES
Y 88.91 Y.upf
Ti 47.87 Ti.upf
Pd 106.42 Pd.upf
CELL_PARAMETERS angstrom
4.065 0.000 0.000
0.000 4.065 0.000
0.000 0.000 12.194
ATOMIC_POSITIONS crystal
Y 0.000 0.000 0.328
Y 0.000 0.000 0.672
Ti 0.000 0.000 0.000
Pd 0.500 0.500 0.000
Pd 0.500 0.500 0.326
Pd 0.500 0.500 0.674
Pd 0.500 0.000 0.152
Pd 0.500 0.000 0.500
Pd 0.500 0.000 0.848
Pd 0.000 0.500 0.152
Pd 0.000 0.500 0.500
Pd 0.000 0.500 0.848

=====

No. 2
! Ti2ZnPd4 | Alexandria via LeMat-Bulk | GGA-PBE | optimized geometry; values from VASP
! Final energy in eV per atom: -5.82
! Polymorph energy (0 for the lowest one) in meV per atom: 102.9
! SG: P2_1/m (11)
&SYSTEM
  ibrav = 0, nat = 14, ntyp = 3
/
ATOMIC_SPECIES
Ti 47.87 Ti.upf
Zn 65.41 Zn.upf
Pd 106.42 Pd.upf
CELL_PARAMETERS angstrom
6.487 0.000 -0.289
0.000 5.159 0.000
-2.748 0.000 6.758
ATOMIC_POSITIONS crystal
Ti 0.793 0.750 0.017
Ti 0.207 0.250 0.983
Ti 0.343 0.250 0.446
Ti 0.657 0.750 0.554
Zn 0.249 0.750 0.204
Zn 0.751 0.250 0.796
Pd 0.595 0.495 0.228
Pd 0.051 0.750 0.818
Pd 0.949 0.250 0.182
Pd 0.595 0.005 0.228
Pd 0.958 0.250 0.574
Pd 0.405 0.995 0.772
Pd 0.405 0.505 0.772
Pd 0.042 0.750 0.426

=====

No. 3
! TiZn2Pd | Alexandria via LeMat-Bulk | GGA-PBE | optimized geometry; values from VASP
! Final energy in eV per atom: -4.24
! SG: Pmma (51)
&SYSTEM
  ibrav = 0, nat = 8, ntyp = 3
/
ATOMIC_SPECIES
Ti 47.87 Ti.upf
Zn 65.41 Zn.upf
Pd 106.42 Pd.upf
CELL_PARAMETERS angstrom
-4.047 1.381 0.163
-0.758 -2.593 3.145
1.838 4.862 4.452
ATOMIC_POSITIONS crystal
Ti 0.750 0.500 0.861
Ti 0.250 0.500 0.139
Zn 0.750 0.000 0.122
Zn 0.250 0.000 0.878
Zn 0.750 0.000 0.605
Zn 0.250 0.000 0.395
Pd 0.750 0.500 0.356
Pd 0.250 0.500 0.644

=====

No. 4
! Ti7Zn2Pd2 | Alexandria via LeMat-Bulk | GGA-PBE | optimized geometry; values from VASP
! Final energy in eV per atom: -6.43
! SG: C2/m (12)
&SYSTEM
  ibrav = 0, nat = 11, ntyp = 3
/
ATOMIC_SPECIES
Ti 47.87 Ti.upf
Zn 65.41 Zn.upf
Pd 106.42 Pd.upf
CELL_PARAMETERS angstrom
6.536 0.528 0.603
0.465 5.373 -0.315
0.465 -1.027 5.284
ATOMIC_POSITIONS crystal
Ti 0.672 0.102 0.491
Ti 0.328 0.509 0.898
Ti 0.328 0.898 0.509
Ti 0.672 0.491 0.102
Ti 0.500 0.000 0.000
Ti 0.945 0.820 0.820
Ti 0.055 0.180 0.180
Zn 0.000 0.288 0.712
Zn 0.000 0.712 0.288
Pd 0.318 0.407 0.407
Pd 0.682 0.593 0.593

=====

No. 5
! TiZnPd5 | Alexandria via LeMat-Bulk | GGA-PBE | optimized geometry; values from VASP
! Final energy in eV per atom: -5.16
! Polymorph energy (0 for the lowest one) in meV per atom: 315.2
! SG: C2/c (15)
&SYSTEM
  ibrav = 0, nat = 14, ntyp = 3
/
ATOMIC_SPECIES
Ti 47.87 Ti.upf
Zn 65.41 Zn.upf
Pd 106.42 Pd.upf
CELL_PARAMETERS angstrom
-3.573 4.952 -2.616
1.045 -2.416 -6.099
-5.633 -2.223 -2.767
ATOMIC_POSITIONS crystal
Ti 0.539 0.461 0.250
Ti 0.461 0.539 0.750
Zn 0.000 0.000 0.000
Zn 0.000 0.000 0.500
Pd 0.600 0.811 0.333
Pd 0.195 0.564 0.495
Pd 0.811 0.600 0.833
Pd 0.801 0.199 0.250
Pd 0.436 0.805 0.005
Pd 0.564 0.195 0.995
Pd 0.199 0.801 0.750
Pd 0.189 0.400 0.167
Pd 0.805 0.436 0.505
Pd 0.400 0.189 0.667

=====

No. 6
! Ti7ZnPd2 | Alexandria via LeMat-Bulk | GGA-PBE | optimized geometry; values from VASP
! Final energy in eV per atom: -5.87
! SG: Fm-3m (225)
&SYSTEM
  ibrav = 0, nat = 10, ntyp = 3
/
ATOMIC_SPECIES
Ti 47.87 Ti.upf
Zn 65.41 Zn.upf
Pd 106.42 Pd.upf
CELL_PARAMETERS angstrom
-0.542 3.567 5.391
1.674 -2.520 5.738
5.327 2.112 3.040
ATOMIC_POSITIONS crystal
Ti 0.500 0.500 0.500
Ti 0.254 0.746 0.746
Ti 0.254 0.746 0.254
Ti 0.746 0.254 0.746
Ti 0.746 0.746 0.254
Ti 0.254 0.254 0.746
Ti 0.746 0.254 0.254
Zn 0.000 0.000 0.000
Pd 0.250 0.250 0.250
Pd 0.750 0.750 0.750

=====

No. 7
! Ti3Zn4Pd | Alexandria via LeMat-Bulk | GGA-PBE | optimized geometry; values from VASP
! Final energy in eV per atom: -4.49
! Polymorph energy (0 for the lowest one) in meV per atom: 11.6
! SG: Pmmn (59)
&SYSTEM
  ibrav = 0, nat = 16, ntyp = 3
/
ATOMIC_SPECIES
Ti 47.87 Ti.upf
Zn 65.41 Zn.upf
Pd 106.42 Pd.upf
CELL_PARAMETERS angstrom
4.320 0.000 0.000
0.000 6.558 0.000
0.000 0.000 8.665
ATOMIC_POSITIONS crystal
Ti 0.689 0.628 0.000
Ti 0.189 0.633 0.251
Ti 0.689 0.367 0.249
Ti 0.189 0.372 0.500
Ti 0.689 0.367 0.751
Ti 0.189 0.633 0.749
Zn 0.189 0.894 0.000
Zn 0.190 0.369 0.000
Zn 0.189 0.118 0.246
Zn 0.689 0.882 0.254
Zn 0.690 0.631 0.500
Zn 0.689 0.106 0.500
Zn 0.689 0.882 0.746
Zn 0.189 0.118 0.754
Pd 0.689 0.120 0.000
Pd 0.189 0.880 0.500

=====

No. 8
! Ti3Zn7Pd2 | Alexandria via LeMat-Bulk | GGA-PBE | optimized geometry; values from VASP
! Final energy in eV per atom: -3.77
! Polymorph energy (0 for the lowest one) in meV per atom: 9.2
! SG: P2/m (10)
&SYSTEM
  ibrav = 0, nat = 12, ntyp = 3
/
ATOMIC_SPECIES
Ti 47.87 Ti.upf
Zn 65.41 Zn.upf
Pd 106.42 Pd.upf
CELL_PARAMETERS angstrom
2.930 0.000 0.000
0.000 4.347 -0.004
0.000 -2.186 14.716
ATOMIC_POSITIONS crystal
Ti 0.500 0.500 0.000
Ti 0.000 0.184 0.369
Ti 0.000 0.816 0.631
Zn 0.500 0.731 0.462
Zn 0.500 0.269 0.538
Zn 0.000 0.573 0.148
Zn 0.000 0.000 0.000
Zn 0.000 0.427 0.852
Zn 0.500 0.910 0.819
Zn 0.500 0.090 0.181
Pd 0.500 0.645 0.292
Pd 0.500 0.355 0.708